Computed, not measured: a PBEsol-optimized structure of Sb2PtBr at the meta-GGA SCAN level of DFT.

ΔE_f (raw) in eV/atom: 0.062
Density of states at the Fermi level in states/eV per cell: 1.85
Magnetic moment in μB per formula unit: 0.0

Geometry as POSCAR:
```
Sb2PtBr
1.0
3.3370 0.0000 0.0000
0.0000 4.7590 0.0000
0.0000 0.0000 5.5822
Br Pt Sb
1 1 2
Direct
0.5000 0.5000 0.0000
0.0000 0.0000 0.5000
0.5000 0.5000 0.5000
0.0000 0.0000 0.0000
```